[1]
POs: optimized geometry, PBE-GGA.

The value obtained for the density of states at the Fermi level is 2.71 states/eV/cell. The theoretical density comes out at 11.04 g cm⁻³. The formation energy is -150 meV/atom. As for the crystal system: orthorhombic.

The structure belongs to space group P2_12_12_1 (No. 19); the cell edges are 5.2827, 6.6639 and 7.5602 Å and the angles 90.00°, 90.00° and 90.00°. The asymmetric unit holds P at (0.0254, 0.2050, 0.1716), P at (0.0373, 0.1598, 0.6160), Os at (0.0584, 0.8134, 0.6092) and Os at (0.2052, 0.5614, 0.1194).

[2]
TmScBi2: optimized geometry, PBE-GGA.

The value obtained for the density of states at the Fermi level is 1.22 states/eV/cell. The theoretical density comes out at 9.00 g cm⁻³. The energy relative to the lowest polymorph listed for this composition is 1 meV/atom. The formation energy is -717 meV/atom. As for the crystal system: orthorhombic.

The structure belongs to space group Pmmn (No. 59, origin choice 2); the cell edges are 4.3463, 6.1664 and 8.6965 Å and the angles 90.00°, 90.00° and 90.00°. The asymmetric unit holds Tm at (0.2500, 0.2500, 0.1266), Sc at (0.2500, 0.2500, 0.6245), Bi at (0.2500, 0.7500, 0.1326) and Bi at (0.2500, 0.7500, 0.6162).

[3]
SiPI2: optimized geometry, PBE-GGA.

The value obtained for the density of states at the Fermi level is 15.01 states/eV/cell. The uncorrected formation energy is 0.946 eV per atom. The theoretical density comes out at 5.28 g cm⁻³. The energy relative to the lowest polymorph listed for this composition is 84 meV/atom. As for the crystal system: cubic.

The structure belongs to space group Fm-3m (No. 225); the cell edges are 7.3307, 7.3307 and 7.3307 Å and the angles 90.00°, 90.00° and 90.00°. The asymmetric unit holds Si at (0.0000, 0.0000, 0.0000), P at (0.0000, 0.0000, 0.5000) and I at (0.2500, 0.2500, 0.2500).

[4]
NdY3Cu4: optimized geometry, PBE-GGA.

The value obtained for the density of states at the Fermi level is 5.41 states/eV/cell. The theoretical density comes out at 6.38 g cm⁻³. The formation energy is -213 meV/atom. As for the crystal system: tetragonal.

The structure belongs to space group P4/mmm (No. 123); the cell edges are 4.9687, 4.9687 and 7.0096 Å and the angles 90.00°, 90.00° and 90.00°. The asymmetric unit holds Nd at (0.0000, 0.0000, 0.0000), Y at (0.0000, 0.0000, 0.5000), Y at (0.5000, 0.5000, 0.0000), Y at (0.5000, 0.5000, 0.5000) and Cu at (0.0000, 0.5000, 0.2580).

[5]
MnAg2Sb: optimized geometry, PBE-GGA.

The value obtained for the density of states at the Fermi level is 10.60 states/eV/cell. The uncorrected formation energy is 0.278 eV per atom. The theoretical density comes out at 8.30 g cm⁻³. As for the crystal system: trigonal.

The structure belongs to space group R3m (No. 160, hexagonal axes); the cell edges are 3.1434, 3.1434 and 27.5238 Å and the angles 90.00°, 90.00° and 120.00°. The asymmetric unit holds Mn at (0.0000, 0.0000, 0.0000), Ag at (0.0000, 0.0000, 0.2573), Ag at (0.0000, 0.0000, 0.5075) and Sb at (0.0000, 0.0000, 0.7450).

[6]
Tb7Th: optimized geometry, PBE-GGA.

The value obtained for the density of states at the Fermi level is 33.90 states/eV/cell. The theoretical density comes out at 8.77 g cm⁻³. The formation energy is 18 meV/atom. As for the crystal system: cubic.

The structure belongs to space group Fm-3m (No. 225); the cell edges are 10.0606, 10.0606 and 10.0606 Å and the angles 90.00°, 90.00° and 90.00°. The asymmetric unit holds Tb at (0.0000, 0.0000, 0.0000), Tb at (0.0000, 0.2500, 0.2500) and Th at (0.0000, 0.0000, 0.5000).